1) Material: MnAgSCl2
Method: DFT, PBE-GGA
State: optimized geometry

Cell lengths 4.8853, 4.8853, 4.2302 Å; angles 90.00, 90.00, 90.00 degrees
Last column: nearest neighbours and their distance in Å.
Sites, in units of the cell vectors:
S (0.0000, 0.0000, 0.5000)  2 Mn 2.12
Mn (0.0000, 0.0000, 0.0000)  2 S 2.12
Ag (0.5000, 0.5000, 0.5000)  8 Cl 3.23, 4 S 3.45
Cl (0.0000, 0.5000, 0.0000)  2 Mn 2.44
Cl (0.5000, 0.0000, 0.0000)  2 Mn 2.44

Results
Crystal system   tetragonal
Space-group type   P4/mmm
Magnetic moment   0.28 μB per formula unit
Density   4371 kg/m3

---

2) Material: MnAgSCl2
Method: DFT, PBE-GGA
State: optimized geometry

Cell lengths 4.8673, 4.8673, 5.0726 Å; angles 90.00, 90.00, 90.00 degrees
Last column: nearest neighbours and their distance in Å.
Sites, in units of the cell vectors:
S (0.0000, 0.0000, 0.5000)  2 Ag 2.54
Mn (0.5000, 0.5000, 0.5000)  4 S 3.44, 8 Cl 3.52
Ag (0.0000, 0.0000, 0.0000)  4 Cl 2.43, 2 S 2.54
Cl (0.0000, 0.5000, 0.0000)  2 Ag 2.43
Cl (0.5000, 0.0000, 0.0000)  2 Ag 2.43

Results
Crystal system   tetragonal
Space-group type   P4/mmm
Magnetic moment   5.20 μB per formula unit
Density   3673 kg/m3

---

Computed stability ranking, most favorable first: 1), 2)

---

1) Material: AgMoCl2
Method: DFT, PBE-GGA
State: optimized geometry

Cell lengths 6.0684, 6.0684, 6.8636 Å; angles 63.76, 63.76, 90.00 degrees
Last column: nearest neighbours and their distance in Å.
Sites, in units of the cell vectors:
Mo (0.5000, 0.5000, 0.0000)  4 Cl 2.35
Mo (0.2500, 0.7500, 0.5000)  4 Cl 2.35
Ag (0.0000, 0.0000, 0.0000)  4 Cl 2.74
Ag (0.7500, 0.2500, 0.5000)  4 Cl 2.74
Cl (0.5716, 0.1250, 0.2500)  2 Mo 2.35
Cl (0.1784, 0.6250, 0.2500)  2 Mo 2.35
Cl (0.3750, 0.4284, 0.7500)  2 Mo 2.35
Cl (0.8750, 0.8216, 0.7500)  2 Mo 2.35

Results
Crystal system   tetragonal
Space-group type   I-42d
Magnetic moment   0.00 μB per formula unit
Density   4625 kg/m3

---

2) Material: AgMoCl2
Method: DFT, PBE-GGA
State: optimized geometry

Cell lengths 3.1982, 3.1982, 10.9101 Å; angles 90.00, 90.00, 124.91 degrees
Last column: nearest neighbours and their distance in Å.
Sites, in units of the cell vectors:
Mo (0.5000, 0.5000, 0.2500)  4 Cl 2.43
Ag (0.5000, 0.5000, 0.7500)  6 Ag 2.96-3.20
Cl (0.0000, 0.0000, 0.0728)  2 Mo 2.43
Cl (0.0000, 0.0000, 0.4272)  2 Mo 2.43

Results
Crystal system   orthorhombic
Space-group type   Cmmm
Magnetic moment   1.23 μB per formula unit
Density   4985 kg/m3

---

Computed stability ranking, most favorable first: 2), 1)

---

1) Material: AgMoCl2
Method: DFT, PBE-GGA
State: optimized geometry

Cell lengths 4.8971, 4.8971, 4.8971 Å; angles 60.00, 60.00, 60.00 degrees
Last column: nearest neighbours and their distance in Å.
Sites, in units of the cell vectors:
Mo (0.0000, 0.0000, 0.0000)  8 Cl 3.00
Ag (0.5000, 0.5000, 0.5000)  8 Cl 3.00
Cl (0.2500, 0.2500, 0.2500)  4 Ag 3.00, 4 Mo 3.00
Cl (0.7500, 0.7500, 0.7500)  4 Mo 3.00, 4 Ag 3.00

Results
Crystal system   cubic
Space-group type   Fm-3m
Magnetic moment   4.90 μB per formula unit
Density   5493 kg/m3

---

2) Material: AgMoCl2
Method: DFT, PBE-GGA
State: optimized geometry

Cell lengths 7.0553, 7.0553, 7.0553 Å; angles 155.62, 143.01, 44.80 degrees
Last column: nearest neighbours and their distance in Å.
Sites, in units of the cell vectors:
Mo (0.5142, 0.5142, 0.0000)  6 Cl 2.50-2.70
Ag (0.3239, 0.8239, 0.5000)  2 Mo 2.89, 2 Ag 2.98, 2 Cl 3.15
Cl (0.9939, 0.9939, 0.0000)  4 Mo 2.70, 2 Cl 2.98
Cl (0.6681, 0.1681, 0.5000)  2 Mo 2.50

Results
Crystal system   orthorhombic
Space-group type   Imm2
Magnetic moment   1.87 μB per formula unit
Density   5243 kg/m3

---

3) Material: AgMoCl2
Method: DFT, PBE-GGA
State: optimized geometry

Cell lengths 3.4046, 6.1379, 4.1075 Å; angles 90.00, 90.00, 90.00 degrees
Last column: nearest neighbours and their distance in Å.
Sites, in units of the cell vectors:
Mo (0.5000, 0.0000, 0.5000)  4 Cl 2.67
Ag (0.0000, 0.5000, 0.5000)  4 Cl 2.67
Cl (0.0000, 0.0000, 0.0000)  4 Mo 2.67
Cl (0.5000, 0.5000, 0.0000)  4 Ag 2.67

Results
Crystal system   orthorhombic
Space-group type   Pmmm
Magnetic moment   4.15 μB per formula unit
Density   5314 kg/m3

---

Computed stability ranking, most favorable first: 2), 3), 1)

---

1) Material: AgMoCl2
Method: DFT, PBE-GGA
State: optimized geometry

Cell lengths 4.9123, 4.9123, 4.9123 Å; angles 60.00, 60.00, 60.00 degrees
Last column: nearest neighbours and their distance in Å.
Sites, in units of the cell vectors:
Mo (0.7500, 0.7500, 0.7500)  4 Ag 3.01, 4 Cl 3.01
Ag (0.5000, 0.5000, 0.5000)  4 Cl 3.01, 4 Mo 3.01
Cl (0.0000, 0.0000, 0.0000)  4 Mo 3.01, 4 Cl 3.01
Cl (0.2500, 0.2500, 0.2500)  4 Cl 3.01, 4 Ag 3.01

Results
Crystal system   cubic
Space-group type   F-43m
Magnetic moment   4.90 μB per formula unit
Density   5443 kg/m3

---

2) Material: AgMoCl2
Method: DFT, PBE-GGA
State: optimized geometry

Cell lengths 4.7208, 4.7209, 3.5790 Å; angles 90.00, 90.00, 90.00 degrees
Last column: nearest neighbours and their distance in Å.
Sites, in units of the cell vectors:
Mo (0.5000, 0.0000, 0.5000)  8 Cl 2.96
Ag (0.0000, 0.5000, 0.5000)  8 Cl 2.96
Cl (0.0000, 0.0000, 0.0000)  4 Mo 2.96, 4 Ag 2.96
Cl (0.5000, 0.5000, 0.0000)  4 Ag 2.96, 4 Mo 2.96

Results
Crystal system   tetragonal
Space-group type   P4/mmm
Magnetic moment   4.33 μB per formula unit
Density   5719 kg/m3

---

3) Material: AgMoCl2
Method: DFT, PBE-GGA
State: optimized geometry

Cell lengths 3.0706, 3.0706, 9.7254 Å; angles 90.00, 90.00, 119.39 degrees
Last column: nearest neighbours and their distance in Å.
Sites, in units of the cell vectors:
Mo (0.0000, 0.0000, 0.4973)  2 Cl 2.42
Ag (0.5000, 0.5000, 0.7417)  2 Cl 2.58, 2 Mo 2.84
Cl (0.0000, 0.0000, 0.9543)  2 Ag 2.58
Cl (0.5000, 0.5000, 0.3068)  2 Mo 2.42

Results
Crystal system   orthorhombic
Space-group type   Cmm2
Magnetic moment   0.38 μB per formula unit
Density   5710 kg/m3

---

Computed stability ranking, most favorable first: 3), 2), 1)

---

1) Material: AgMoCl2
Method: DFT, PBE-GGA
State: optimized geometry

Cell lengths 5.4963, 5.4963, 7.1765 Å; angles 68.07, 68.07, 31.91 degrees
Last column: nearest neighbours and their distance in Å.
Sites, in units of the cell vectors:
Mo (0.4476, 0.4476, 0.3750)  4 Cl 2.44
Ag (0.1822, 0.1822, 0.3749)  3 Mo 2.80-2.90, 2 Ag 3.02
Cl (0.0114, 0.0114, 0.0853)  2 Mo 2.44
Cl (0.8588, 0.8588, 0.6648)  2 Mo 2.44

Results
Crystal system   monoclinic
Space-group type   Cm
Magnetic moment   2.02 μB per formula unit
Density   4320 kg/m3

---

2) Material: AgMoCl2
Method: DFT, PBE-GGA
State: optimized geometry

Cell lengths 7.1770, 7.1770, 5.0331 Å; angles 69.44, 69.44, 23.98 degrees
Last column: nearest neighbours and their distance in Å.
Sites, in units of the cell vectors:
Mo (0.7500, 0.7500, 0.7500)  4 Cl 2.45
Ag (0.2500, 0.2500, 0.2500)  4 Mo 2.93, 2 Ag 2.98, 4 Cl 3.18
Cl (0.1012, 0.1012, 0.8990)  2 Mo 2.45
Cl (0.3988, 0.3988, 0.6010)  2 Mo 2.45

Results
Crystal system   orthorhombic
Space-group type   Immm
Magnetic moment   1.43 μB per formula unit
Density   4639 kg/m3

---

3) Material: AgMoCl2
Method: DFT, PBE-GGA
State: optimized geometry

Cell lengths 3.0525, 3.0525, 8.1779 Å; angles 90.00, 90.00, 90.00 degrees
Last column: nearest neighbours and their distance in Å.
Sites, in units of the cell vectors:
Mo (0.0000, 0.0000, 0.4972)  4 Cl 2.59
Ag (0.5000, 0.5000, 0.7373)  4 Cl 2.74, 4 Mo 2.92, 4 Ag 3.05
Cl (0.0000, 0.0000, 0.9428)  4 Ag 2.74, 4 Cl 3.05
Cl (0.5000, 0.5000, 0.3227)  4 Mo 2.59

Results
Crystal system   tetragonal
Space-group type   P4mm
Magnetic moment   0.00 μB per formula unit
Density   5987 kg/m3

---

4) Material: AgMoCl2
Method: DFT, PBE-GGA
State: optimized geometry

Cell lengths 5.9755, 5.4929, 3.3296 Å; angles 69.00, 95.83, 125.08 degrees
Last column: nearest neighbours and their distance in Å.
Sites, in units of the cell vectors:
Mo (0.0000, 0.5000, 0.5000)  4 Cl 2.65
Ag (0.5000, 0.5000, 0.0000)  4 Cl 2.65
Cl (0.0000, 0.0000, 0.0000)  2 Ag 2.65, 2 Mo 2.65
Cl (0.5000, 0.0000, 0.5000)  2 Mo 2.65, 2 Ag 2.65

Results
Crystal system   monoclinic
Space-group type   C2/m
Magnetic moment   3.44 μB per formula unit
Density   5515 kg/m3

---

Computed stability ranking, most favorable first: 2), 1), 3), 4)